Entry 1:
BaLi2MgCu | PBE | optimized geometry

abc: 5.1877 5.1877 5.0691
angles: 90.00 90.00 90.00
Closest atoms and distances in Å follow each position.
Space group P4/mmm (No. 123)
Asymmetric unit:
Ba1 0.0000 0.0000 0.0000  8 Li 3.63, 4 Mg 3.67
Li1 0.0000 0.5000 0.5000  2 Cu 2.59
Mg1 0.5000 0.5000 0.0000  2 Cu 2.53
Cu1 0.5000 0.5000 0.5000  2 Mg 2.53, 4 Li 2.59

**Mass density**: 2.91 Mg/m³
**Raw total energy**: -2.228 eV/atom
**Crystal system**: tetragonal
**Magnetization**: 0.0 Bohr magnetons per cell
**Calculated formation energy**: 60 meV/atom
**D(E_F)**: 2.5 states/eV per cell

Entry 2:
Tl3Hg3Sb | PBE | optimized geometry

abc: 8.3755 8.3755 8.3755
angles: 90.00 90.00 90.00
Closest atoms and distances in Å follow each position.
Space group Pm-3n (No. 223)
Asymmetric unit:
Tl1 0.0000 0.2500 0.5000  4 Hg 2.96
Hg1 0.0000 0.5000 0.2500  4 Tl 2.96
Sb1 0.0000 0.0000 0.0000  12 Hg 4.68, 12 Tl 4.68

**Mass density**: 7.56 Mg/m³
**Relative energy among the computed polymorphs**: 10.025 kcal/mol of atoms
**Raw total energy**: -1.285 eV/atom
**Crystal system**: cubic
**Formation energy (no corrections)**: 3.1 eV/f.u.
**Magnetization**: 1.0 Bohr magnetons per cell
**D(E_F)**: 8.3 states/eV per cell

Entry 3:
Mn2AlOsC | PBE | optimized geometry

abc: 3.8215 3.8215 4.0427
angles: 90.00 90.00 90.00
Closest atoms and distances in Å follow each position.
Space group P4/mmm (No. 123)
Asymmetric unit:
Mn1 0.0000 0.5000 0.0000  2 C 1.91
Al1 0.0000 0.0000 0.5000  4 Os 2.70, 8 Mn 2.78
Os1 0.5000 0.5000 0.5000  2 C 2.02
C1 0.5000 0.5000 0.0000  4 Mn 1.91, 2 Os 2.02

**Mass density**: 9.54 Mg/m³
**Raw total energy**: -8.606 eV/atom
**Crystal system**: tetragonal
**Magnetization**: 3.0 Bohr magnetons per cell
**Calculated formation energy**: -99 meV/atom
**D(E_F)**: 2.9 states/eV per cell

Entry 4:
TcIrPt | PBE | optimized geometry

abc: 4.4091 4.4091 2.6922
angles: 90.00 90.00 120.00
Closest atoms and distances in Å follow each position.
Space group P-6m2 (No. 187)
Asymmetric unit:
Tc1 0.0000 0.0000 0.0000  2 Tc 2.69, 6 Pt 2.88, 6 Ir 2.88
Ir1 0.3333 0.6667 0.5000  3 Pt 2.55, 2 Ir 2.69
Pt1 0.6667 0.3333 0.5000  3 Ir 2.55, 2 Pt 2.69

**Mass density**: 17.78 Mg/m³
**Relative energy among the computed polymorphs**: 5.406 kcal/mol of atoms
**Raw total energy**: -8.358 eV/atom
**Crystal system**: hexagonal
**Magnetization**: 0.0 Bohr magnetons per cell
**Calculated formation energy**: 65 meV/atom
**D(E_F)**: 3.2 states/eV per cell

Entry 5:
Ge2SeN | PBE | optimized geometry

abc: 6.3561 6.3561 6.3561
angles: 90.00 90.00 90.00
Closest atoms and distances in Å follow each position.
Space group Fm-3m (No. 225)
Asymmetric unit:
Ge1 0.2500 0.2500 0.2500  4 Se 2.75, 4 N 2.75
Se1 0.0000 0.0000 0.0000  8 Ge 2.75
N1 0.0000 0.0000 0.5000  8 Ge 2.75

**Mass density**: 6.16 Mg/m³
**Relative energy among the computed polymorphs**: 16.466 kcal/mol of atoms
**Raw total energy**: -4.220 eV/atom
**Crystal system**: cubic
**Formation energy (no corrections)**: 4.2 eV/f.u.
**Magnetization**: 0.0 Bohr magnetons per cell
**D(E_F)**: 11.0 states/eV per cell

Entry 6:
AcAg6Hg6 | PBE | optimized geometry

abc: 5.6845 10.0091 10.1684
angles: 90.00 90.00 90.00
Closest atoms and distances in Å follow each position.
Space group Immm (No. 71)
Asymmetric unit:
Ac1 0.0000 0.0000 0.0000  8 Hg 3.41-3.52, 4 Ag 3.68
Ag1 0.0000 0.2661 0.5000  4 Ag 2.92, 6 Hg 3.01-3.09
Ag2 0.2500 0.2500 0.2500  4 Ag 2.84-2.92, 6 Hg 2.95-3.07
Hg1 0.0000 0.0000 0.3466  6 Ag 3.04-3.09, 3 Hg 3.12-3.28
Hg2 0.0000 0.3469 0.0000  6 Ag 3.06-3.07, 1 Hg 3.07
Hg3 0.0000 0.5000 0.3145  6 Ag 2.95-3.01, 2 Hg 3.28

**Mass density**: 11.93 Mg/m³
**Raw total energy**: -1.865 eV/atom
**Crystal system**: orthorhombic
**Magnetization**: 0.0 Bohr magnetons per cell
**Calculated formation energy**: -94 meV/atom
**D(E_F)**: 10.1 states/eV per cell

Entry 7:
TiTe4Pt | PBE | optimized geometry

abc: 8.8962 15.3585 6.0256
angles: 90.00 130.84 90.00
Closest atoms and distances in Å follow each position.
Space group C2/c (No. 15)
Asymmetric unit:
Ti1 0.0000 0.0514 0.2500  6 Te 2.69-2.84
Te1 0.1775 0.1966 0.2083  2 Pt 2.71-2.74, 1 Ti 2.84
Te2 0.2125 0.4439 0.1616  2 Ti 2.69-2.79, 1 Pt 2.78
Pt1 0.0000 0.3111 0.7500  6 Te 2.71-2.78

**Mass density**: 8.03 Mg/m³
**Relative energy among the computed polymorphs**: 2.058 kcal/mol of atoms
**Raw total energy**: -4.779 eV/atom
**Crystal system**: monoclinic
**Formation energy (no corrections)**: -2.2 eV/f.u.
**Magnetization**: 0.0 Bohr magnetons per cell
**D(E_F)**: 16.3 states/eV per cell

Entry 8:
Fe2ReSe | PBE | optimized geometry

abc: 3.0382 4.3844 8.9001
angles: 90.00 90.00 90.00
Closest atoms and distances in Å follow each position.
Space group Cmm2 (No. 35)
Asymmetric unit:
Fe1 0.0000 0.0000 0.0000  6 Fe 2.45-2.67, 2 Se 2.57
Fe2 0.0000 0.5000 0.2162  6 Fe 2.45-2.67, 2 Re 2.52
Re1 0.0000 0.0000 0.4421  2 Fe 2.52, 4 Re 2.67
Se1 0.0000 0.5000 0.7669  2 Fe 2.57, 4 Se 2.67

**Mass density**: 10.56 Mg/m³
**Raw total energy**: -7.724 eV/atom
**Crystal system**: orthorhombic
**Formation energy (no corrections)**: 2.0 eV/f.u.
**Magnetization**: 9.9 Bohr magnetons per cell
**D(E_F)**: 7.5 states/eV per cell

Entry 9:
Sc12Tl3H5 | PBE | optimized geometry

abc: 14.5187 14.5187 14.5187
angles: 90.00 90.00 90.00
Closest atoms and distances in Å follow each position.
Space group Ia-3d (No. 230)
Asymmetric unit:
Sc1 0.0450 0.0519 0.6491  1 H 2.02
Tl1 0.0000 0.2500 0.1250  8 Sc 2.97
H1 0.0000 0.0000 0.0000  6 Sc 2.38
H2 0.0000 0.2500 0.3750  4 Sc 2.02

**Mass density**: 5.03 Mg/m³
**Raw total energy**: -5.173 eV/atom
**Crystal system**: cubic
**Magnetization**: 0.0 Bohr magnetons per cell
**D(E_F)**: 147.4 states/eV per cell

Entry 10:
PSe | PBE | optimized geometry

abc: 4.8477 4.8477 10.1298
angles: 90.00 90.00 120.00
Closest atoms and distances in Å follow each position.
Space group P6_3/mmc (No. 194)
Asymmetric unit:
P1 0.3333 0.6667 0.1491  1 P 2.04
Se1 0.0000 0.0000 0.2500  3 Se 2.80, 6 P 2.98
Se2 0.3333 0.6667 0.7500  3 Se 2.80, 6 P 2.98

**Mass density**: 3.54 Mg/m³
**Relative energy among the computed polymorphs**: 18.168 kcal/mol of atoms
**Raw total energy**: -3.739 eV/atom
**Crystal system**: hexagonal
**Formation energy (no corrections)**: 1.4 eV/f.u.
**Magnetization**: 0.0 Bohr magnetons per cell
**D(E_F)**: 4.5 states/eV per cell

Entry 11:
Ta2FeTcH | PBE | optimized geometry

abc: 4.3089 4.3089 3.5064
angles: 90.00 90.00 90.00
Closest atoms and distances in Å follow each position.
Space group P4/mmm (No. 123)
Asymmetric unit:
Ta1 0.0000 0.5000 0.0000  2 H 2.15
Fe1 0.0000 0.0000 0.5000  8 Ta 2.78, 4 Tc 3.05
Tc1 0.5000 0.5000 0.5000  2 H 1.75
H1 0.5000 0.5000 0.0000  2 Tc 1.75

**Mass density**: 13.18 Mg/m³
**Relative energy among the computed polymorphs**: 3.563 kcal/mol of atoms
**Raw total energy**: -9.220 eV/atom
**Crystal system**: tetragonal
**Magnetization**: 1.3 Bohr magnetons per cell
**D(E_F)**: 3.3 states/eV per cell

Entry 12:
Ag2HgSeBr | PBE | optimized geometry

abc: 6.8675 6.8675 11.3982
angles: 90.00 90.00 90.00
Closest atoms and distances in Å follow each position.
Space group I4cm (No. 108)
Asymmetric unit:
Ag1 0.1964 0.3036 0.0000  2 Se 2.68, 1 Br 2.80
Hg1 0.0000 0.0000 0.3268  2 Se 2.71-2.99
Se1 0.0000 0.0000 0.0890  4 Ag 2.68, 2 Hg 2.71-2.99
Br1 0.0000 0.5000 0.3206  2 Ag 2.80

**Mass density**: 7.11 Mg/m³
**Raw total energy**: -2.357 eV/atom
**Crystal system**: tetragonal
**Formation energy (no corrections)**: -0.6 eV/f.u.
**Magnetization**: 0.0 Bohr magnetons per cell
**D(E_F)**: 1.6 states/eV per cell

Entry 13:
Pm5Sm2Er4 | PBE | optimized geometry

abc: 17.6984 3.5435 11.6425
angles: 90.00 93.98 90.00
Closest atoms and distances in Å follow each position.
Space group C2/m (No. 12)
Asymmetric unit:
Pm1 0.0000 0.0000 0.0000  6 Er 3.50-3.54, 6 Pm 3.54-3.63
Pm2 0.0957 0.5000 0.5349  4 Er 3.34-3.56, 3 Pm 3.43-3.54, 3 Sm 3.49-3.59
Pm3 0.1761 0.5000 0.0688  4 Er 3.47-3.65, 6 Pm 3.54-3.63, 2 Sm 3.76
Sm1 0.2164 0.0000 0.3511  5 Pm 3.49-3.76, 2 Sm 3.54, 4 Er 3.63-3.79
Er1 0.0330 0.5000 0.2580  5 Pm 3.34-3.50, 4 Er 3.54-3.56
Er2 0.1399 0.0000 0.7964  6 Pm 3.52-3.65, 4 Er 3.54-3.56, 2 Sm 3.63

**Mass density**: 7.73 Mg/m³
**Relative energy among the computed polymorphs**: 0.000 kcal/mol of atoms
**Raw total energy**: -4.605 eV/atom
**Crystal system**: monoclinic
**Magnetization**: 0.0 Bohr magnetons per cell
**Calculated formation energy**: 71 meV/atom
**D(E_F)**: 30.7 states/eV per cell

Entry 14:
MgGaH2 | PBE | optimized geometry

abc: 4.8904 4.8904 9.2748
angles: 90.00 90.00 90.00
Closest atoms and distances in Å follow each position.
Space group I-42d (No. 122)
Asymmetric unit:
Mg1 0.0000 0.0000 0.0000  4 H 1.84
Ga1 0.0000 0.0000 0.5000  4 H 2.40
H1 0.1517 0.2500 0.1250  2 Mg 1.84

**Mass density**: 2.88 Mg/m³
**Relative energy among the computed polymorphs**: 5.083 kcal/mol of atoms
**Raw total energy**: -2.654 eV/atom
**Crystal system**: tetragonal
**Magnetization**: 0.0 Bohr magnetons per cell
**D(E_F)**: 4.1 states/eV per cell

Entry 15:
Ac6Sb2Se3I | PBE | optimized geometry

abc: 20.2260 4.6181 9.2834
angles: 90.00 103.94 90.00
Closest atoms and distances in Å follow each position.
Space group C2/m (No. 12)
Asymmetric unit:
Ac1 0.0037 0.0000 0.2243  3 Se 3.10-3.17, 1 Sb 3.30, 2 I 3.46
Ac2 0.1655 0.5000 0.0898  3 Se 3.23-3.25, 3 Sb 3.35
Ac3 0.1768 0.5000 0.5784  3 Se 3.11-3.21, 2 Sb 3.32, 1 I 3.47
Sb1 0.1636 0.0000 0.8277  6 Ac 3.30-3.35
Se1 0.0000 0.5000 0.0000  6 Ac 3.10-3.25
Se2 0.1649 0.0000 0.3329  6 Ac 3.11-3.23
I1 0.0000 0.5000 0.5000  6 Ac 3.46-3.47

**Mass density**: 7.77 Mg/m³
**Raw total energy**: -5.238 eV/atom
**Crystal system**: monoclinic
**Formation energy (no corrections)**: -18.0 eV/f.u.
**Magnetization**: 0.0 Bohr magnetons per cell
**D(E_F)**: 11.3 states/eV per cell

Entry 16:
Rb2HgPtO | PBE | optimized geometry

abc: 6.1128 6.1128 3.9191
angles: 90.00 90.00 90.00
Closest atoms and distances in Å follow each position.
Space group P4/mmm (No. 123)
Asymmetric unit:
Rb1 0.0000 0.5000 0.0000  2 O 3.06
Hg1 0.0000 0.0000 0.5000  8 Rb 3.63, 2 Hg 3.92
Pt1 0.5000 0.5000 0.5000  2 O 1.96
O1 0.5000 0.5000 0.0000  2 Pt 1.96

**Mass density**: 6.61 Mg/m³
**Relative energy among the computed polymorphs**: 0.000 kcal/mol of atoms
**Raw total energy**: -3.154 eV/atom
**Crystal system**: tetragonal
**Formation energy (no corrections)**: -2.5 eV/f.u.
**Magnetization**: 0.0 Bohr magnetons per cell
**D(E_F)**: 3.9 states/eV per cell

Entry 17:
Pm7GeC2 | PBE | optimized geometry

abc: 8.1570 18.1685 3.8167
angles: 90.00 90.00 90.00
Closest atoms and distances in Å follow each position.
Space group Cmmm (No. 65)
Asymmetric unit:
Pm1 0.0000 0.0000 0.0000  2 C 2.45
Pm2 0.0000 0.2155 0.5000  2 C 2.41
Pm3 0.1971 0.3871 0.0000  1 C 2.50
Ge1 0.0000 0.5000 0.5000  8 Pm 3.23
C1 0.0000 0.1346 0.0000  5 Pm 2.41-2.50

**Mass density**: 6.53 Mg/m³
**Raw total energy**: -5.602 eV/atom
**Crystal system**: orthorhombic
**Magnetization**: 0.0 Bohr magnetons per cell
**Calculated formation energy**: 30 meV/atom
**D(E_F)**: 21.4 states/eV per cell